## MgNiSe2 (GGA-PBE)

Data for a relaxed structure of MgNiSe2.

Cell: 3.736 3.736 6.463 Å, 73.18 73.18 59.94°
Last column: magnetic moment on the atom in μB.
Fractional positions:
Mg (0.250, 0.250, 0.250)  0.01
Ni (0.750, 0.750, 0.750)  0.83
Se (0.010, 0.010, 0.972)  0.11
Se (0.490, 0.490, 0.528)  0.11

Values from the calculation:
**ΔE_f (raw)**: -210 kJ/mol of formula units
**SG**: R-3m, No. 166

=====

## MgNi3Se (GGA-PBE)

Data for a relaxed structure of MgNi3Se.

Cell: 4.383 4.383 4.383 Å, 90.00 90.00 90.00°
Fractional positions:
Ni (0.000, 0.500, 0.000)
Ni (0.000, 0.000, 0.500)
Ni (0.500, 0.000, 0.000)
Mg (0.000, 0.000, 0.000)
Se (0.500, 0.500, 0.500)

Values from the calculation:
**ΔE_f (raw)**: 528 kJ/mol of formula units
**SG**: Pm-3m, No. 221

=====

## MgNiSe2 (GGA-PBE)

Data for a relaxed structure of MgNiSe2.

Cell: 7.838 7.838 7.838 Å, 153.89 153.89 37.25°
Last column: magnetic moment on the atom in μB.
Fractional positions:
Mg (0.500, 0.500, 0.000)  0.00
Ni (0.750, 0.250, 0.500)  0.60
Se (0.000, 0.000, 0.000)  0.04
Se (0.250, 0.750, 0.500)  0.16

Values from the calculation:
**ΔE_f (raw)**: -95 kJ/mol of formula units
**SG**: I-4m2, No. 119

=====

## MgNi2Se (GGA-PBE)

Data for a relaxed structure of MgNi2Se.

Cell: 4.762 4.762 4.762 Å, 136.65 129.05 69.07°
Fractional positions:
Mg (0.750, 0.250, 0.500)
Ni (0.023, 0.023, 0.000)
Ni (0.477, 0.477, 0.000)
Se (0.250, 0.750, 0.500)

Values from the calculation:
**ΔE_f (raw)**: -35 kJ/mol of formula units
**SG**: Immm, No. 71

=====

## MgNiSe2 (GGA-PBE)

Data for a relaxed structure of MgNiSe2.

Cell: 5.675 5.675 6.970 Å, 65.98 65.98 90.00°
Fractional positions:
Ni (0.000, 0.000, 0.000)
Ni (0.750, 0.250, 0.500)
Mg (0.500, 0.500, 0.000)
Mg (0.250, 0.750, 0.500)
Se (0.667, 0.125, 0.250)
Se (0.083, 0.625, 0.250)
Se (0.375, 0.333, 0.750)
Se (0.875, 0.917, 0.750)

Values from the calculation:
**ΔE_f (raw)**: -217 kJ/mol of formula units
**SG**: I-42d, No. 122

=====

## MgNi2Se (GGA-PBE)

Data for a relaxed structure of MgNi2Se.

Cell: 4.495 4.495 4.392 Å, 73.61 73.61 46.60°
Fractional positions:
Mg (0.249, 0.249, 0.239)
Ni (0.029, 0.029, 0.895)
Ni (0.751, 0.751, 0.759)
Se (0.471, 0.471, 0.607)

Values from the calculation:
**ΔE_f (raw)**: -57 kJ/mol of formula units
**SG**: Cm, No. 8

=====

## MgNi2Se (GGA-PBE)

Data for a relaxed structure of MgNi2Se.

Cell: 3.918 3.914 3.588 Å, 90.00 90.00 90.00°
Fractional positions:
Mg (0.000, 0.500, 0.500)
Ni (0.000, 0.000, 0.000)
Ni (0.500, 0.500, 0.000)
Se (0.500, 0.000, 0.500)

Values from the calculation:
**ΔE_f (raw)**: -54 kJ/mol of formula units
**SG**: P4/mmm, No. 123

=====

## MgNiSe3 (GGA-PBE)

Data for a relaxed structure of MgNiSe3.

Cell: 4.932 4.932 4.932 Å, 90.00 90.00 90.00°
Last column: magnetic moment on the atom in μB.
Fractional positions:
Ni (0.500, 0.500, 0.500)  0.98
Mg (0.000, 0.000, 0.000)  0.00
Se (0.000, 0.500, 0.000)  0.19
Se (0.000, 0.000, 0.500)  0.17
Se (0.500, 0.000, 0.000)  0.12

Values from the calculation:
**ΔE_f (raw)**: 295 kJ/mol of formula units
**SG**: Pm-3m, No. 221

=====

## MgNiSe2 (GGA-PBE)

Data for a relaxed structure of MgNiSe2.

Cell: 3.237 3.237 6.652 Å, 90.00 90.00 90.00°
Fractional positions:
Mg (0.500, 0.500, 0.250)
Ni (0.500, 0.500, 0.750)
Se (0.000, 0.000, 0.983)
Se (0.000, 0.000, 0.517)

Values from the calculation:
**ΔE_f (raw)**: -41 kJ/mol of formula units
**SG**: P4/mmm, No. 123

=====

## MgNi2Se (GGA-PBE)

Data for a relaxed structure of MgNi2Se.

Cell: 4.271 4.271 4.271 Å, 60.00 60.00 60.00°
Fractional positions:
Ni (0.250, 0.250, 0.250)
Ni (0.750, 0.750, 0.750)
Mg (0.000, 0.000, 0.000)
Se (0.500, 0.500, 0.500)

Values from the calculation:
**ΔE_f (raw)**: -14 kJ/mol of formula units
**SG**: Fm-3m, No. 225

=====

## Mg4NiSe (GGA-PBE)

Data for a relaxed structure of Mg4NiSe.

Cell: 5.589 5.589 5.589 Å, 60.00 60.00 60.00°
Fractional positions:
Mg (0.874, 0.375, 0.375)
Mg (0.375, 0.375, 0.874)
Mg (0.375, 0.874, 0.375)
Mg (0.375, 0.375, 0.375)
Ni (0.750, 0.750, 0.750)
Se (0.000, 0.000, 0.000)

Values from the calculation:
**ΔE_f (raw)**: 150 kJ/mol of formula units
**SG**: F-43m, No. 216

=====

## MgNiSe2 (GGA-PBE)

Data for a relaxed structure of MgNiSe2.

Cell: 4.231 4.231 6.966 Å, 90.00 90.00 130.68°
Fractional positions:
Mg (0.500, 0.500, 0.250)
Ni (0.500, 0.500, 0.750)
Se (0.000, 0.000, 0.974)
Se (0.000, 0.000, 0.526)

Values from the calculation:
**ΔE_f (raw)**: -108 kJ/mol of formula units
**SG**: Cmmm, No. 65

=====

## MgSiNi2Se (GGA-PBE)

Data for a relaxed structure of MgSiNi2Se.

Cell: 4.520 4.764 4.520 Å, 90.00 90.00 90.00°
Fractional positions:
Ni (0.000, 0.000, 0.500)
Ni (0.500, 0.000, 0.000)
Si (0.500, 0.500, 0.500)
Mg (0.000, 0.000, 0.000)
Se (0.000, 0.500, 0.000)

Values from the calculation:
**ΔE_f (raw)**: 513 kJ/mol of formula units
**SG**: P4/mmm, No. 123

=====

## MgSiNiSe2 (GGA-PBE)

Data for a relaxed structure of MgSiNiSe2.

Cell: 4.932 4.932 4.815 Å, 90.00 90.00 90.00°
Last column: magnetic moment on the atom in μB.
Fractional positions:
Ni (0.500, 0.500, 0.500)  0.88
Si (0.000, 0.000, 0.000)  0.00
Mg (0.000, 0.000, 0.500)  0.00
Se (0.000, 0.500, 0.000)  0.08
Se (0.500, 0.000, 0.000)  0.08

Values from the calculation:
**ΔE_f (raw)**: 343 kJ/mol of formula units
**SG**: P4/mmm, No. 123

=====

## MgTaNiSe2 (GGA-PBE)

Data for a relaxed structure of MgTaNiSe2.

Cell: 4.988 4.716 4.988 Å, 90.00 90.00 90.00°
Fractional positions:
Ni (0.000, 0.500, 0.000)
Mg (0.500, 0.500, 0.500)
Se (0.000, 0.000, 0.500)
Se (0.500, 0.000, 0.000)
Ta (0.000, 0.000, 0.000)

Values from the calculation:
**ΔE_f (raw)**: 68 kJ/mol of formula units
**SG**: P4/mmm, No. 123